Entry 1:
Computed, not measured: an optimized crystal structure of Sr3MgS at the PBE level of DFT.

a = 5.8323 Å, b = 5.8323 Å, c = 5.8323 Å
α = 90.00°, β = 90.00°, γ = 90.00°
With the nearest neighbours (Å) after each atom.
Space group Pm-3m (No. 221)
One atom of each set of equivalent atoms:
Sr  0.0000  0.0000  0.5000  2 S 2.92
Mg  0.5000  0.5000  0.5000  12 Sr 4.12
S  0.0000  0.0000  0.0000  6 Sr 2.92

Computed properties:
raw formation energy = -753.0 meV per atom
total energy = -0.2136 Ry per atom
E above lowest polymorph = 0 meV/atom
calculated volume = 39.7 A^3/atom
theoretical density = 2.67 g/cm³

***

Entry 2:
Computed, not measured: an optimized crystal structure of Sr2MgS3 at the PBE level of DFT.

a = 8.7283 Å, b = 4.1330 Å, c = 16.6063 Å
α = 90.00°, β = 90.00°, γ = 90.00°
With the nearest neighbours (Å) after each atom.
Space group Pnma (No. 62)
One atom of each set of equivalent atoms:
Sr  0.0965  0.2500  0.2187  7 S 3.06-3.21
Sr  0.2126  0.2500  0.9508  6 S 2.97-3.09
Mg  0.1059  0.2500  0.6232  4 S 2.43-2.47
S  0.0401  0.2500  0.4037  2 Mg 2.47
S  0.1334  0.7500  0.0722  1 Mg 2.43
S  0.1612  0.2500  0.7689  1 Mg 2.47

Computed properties:
raw formation energy = -1858.0 meV per atom
total energy = -0.3490 Ry per atom
calculated volume = 25.0 A^3/atom
theoretical density = 3.28 g/cm³

***

Entry 3:
Computed, not measured: an optimized crystal structure of SrMgS2 at the PBE level of DFT.

a = 6.9577 Å, b = 6.9577 Å, c = 8.5309 Å
α = 90.00°, β = 90.00°, γ = 90.00°
With the nearest neighbours (Å) after each atom.
Space group I-42d (No. 122)
One atom of each set of equivalent atoms:
Sr  0.0000  0.0000  0.0000  4 S 2.93
Mg  0.0000  0.0000  0.5000  4 S 2.46
S  0.1983  0.2500  0.6250  2 Mg 2.46

Computed properties:
raw formation energy = -1626.2 meV per atom
total energy = -0.3314 Ry per atom
calculated volume = 25.8 A^3/atom
theoretical density = 2.83 g/cm³

***

Entry 4:
Computed, not measured: an optimized crystal structure of Sr2MgTeS at the PBE level of DFT.

a = 5.8180 Å, b = 5.8180 Å, c = 4.8578 Å
α = 90.00°, β = 90.00°, γ = 90.00°
With the nearest neighbours (Å) after each atom.
Space group P4/mmm (No. 123)
One atom of each set of equivalent atoms:
Sr  0.0000  0.5000  0.0000  2 S 2.91
Mg  0.0000  0.0000  0.5000  2 S 2.43
Te  0.5000  0.5000  0.5000  8 Sr 3.79, 4 Mg 4.11
S  0.0000  0.0000  0.0000  2 Mg 2.43

Computed properties:
raw formation energy = -1018.8 meV per atom
total energy = -0.2546 Ry per atom
calculated volume = 32.9 A^3/atom
theoretical density = 3.63 g/cm³

***

Entry 5:
Computed, not measured: an optimized crystal structure of SrTm4MgS8 at the PBE level of DFT.

a = 8.0705 Å, b = 8.0705 Å, c = 19.4684 Å
α = 90.00°, β = 90.00°, γ = 120.00°
With the nearest neighbours (Å) after each atom.
Space group R3m (No. 160, hexagonal axes)
One atom of each set of equivalent atoms:
Sr  0.0000  0.0000  0.0000  4 S 2.76-2.78
Tm  0.0000  0.0000  0.7580  4 S 2.61-2.62
Tm  0.0073  0.5036  0.8811  6 S 2.65-2.80
Mg  0.0000  0.0000  0.3763  6 S 2.58-2.79
S  0.0000  0.0000  0.1430  3 Tm 2.67, 1 Sr 2.78
S  0.0000  0.0000  0.6234  4 Tm 2.62-2.80
S  0.0221  0.5110  0.1326  3 Tm 2.61-2.78, 1 Mg 2.79
S  0.1895  0.3790  0.9601  1 Mg 2.58, 2 Tm 2.65, 1 Sr 2.76

Computed properties:
raw formation energy = -1905.3 meV per atom
total energy = -0.4245 Ry per atom
calculated volume = 26.1 A^3/atom
theoretical density = 4.74 g/cm³

***

Entry 6:
Computed, not measured: an optimized crystal structure of SrMgW2S at the PBE level of DFT.

a = 4.8922 Å, b = 4.8922 Å, c = 5.4508 Å
α = 90.00°, β = 90.00°, γ = 90.00°
With the nearest neighbours (Å) after each atom.
Space group P4/mmm (No. 123)
One atom of each set of equivalent atoms:
Sr  0.0000  0.0000  0.0000  4 W 2.45, 2 Mg 2.73
Mg  0.0000  0.0000  0.5000  2 Sr 2.73
W  0.0000  0.5000  0.0000  2 Sr 2.45
S  0.5000  0.5000  0.5000  4 Mg 3.46, 8 W 3.66

Computed properties:
raw formation energy = 3149.5 meV per atom
total energy = -0.2582 Ry per atom
E above lowest polymorph = 1321 meV/atom
calculated volume = 26.1 A^3/atom
theoretical density = 6.51 g/cm³

***

Entry 7:
Computed, not measured: an optimized crystal structure of SrMgW2S at the PBE level of DFT.

a = 4.8511 Å, b = 4.8511 Å, c = 5.0275 Å
α = 90.00°, β = 90.00°, γ = 90.00°
With the nearest neighbours (Å) after each atom.
Space group P4/mmm (No. 123)
One atom of each set of equivalent atoms:
Sr  0.0000  0.0000  0.0000  4 S 3.43, 8 W 3.49
Mg  0.5000  0.5000  0.5000  4 W 2.43, 2 S 2.51
W  0.0000  0.5000  0.5000  2 Mg 2.43
S  0.5000  0.5000  0.0000  2 Mg 2.51

Computed properties:
raw formation energy = 1828.7 meV per atom
total energy = -0.3552 Ry per atom
E above lowest polymorph = 0 meV/atom
calculated volume = 23.7 A^3/atom
theoretical density = 7.18 g/cm³

***

Entry 8:
Computed, not measured: an optimized crystal structure of Sr3Y3MgS8 at the PBE level of DFT.

a = 7.9787 Å, b = 7.9787 Å, c = 20.5183 Å
α = 90.00°, β = 90.00°, γ = 120.00°
With the nearest neighbours (Å) after each atom.
Space group R-3m (No. 166, hexagonal axes)
One atom of each set of equivalent atoms:
Sr  0.0000  0.5000  0.0000  6 S 2.95-2.98
Y  0.0000  0.5000  0.5000  6 S 2.77-2.79
Mg  0.0000  0.0000  0.5000  6 S 2.70
S  0.0000  0.0000  0.2432  3 Y 2.79, 3 Sr 2.95
S  0.0082  0.5041  0.2393  1 Mg 2.70, 2 Y 2.77, 2 Sr 2.98

Computed properties:
raw formation energy = -1988.0 meV per atom
total energy = -0.4355 Ry per atom
calculated volume = 25.1 A^3/atom
theoretical density = 3.57 g/cm³

***

Q: Among the records above, which one has the lowest total energy?
A: Sr3Y3MgS8

***

Q: Look up the total energy of the fifth one.
A: -0.4245 Ry per atom

***

Q: Look up the theoretical density of the fourth one.
A: 3.63 g/cm³

***

Q: What is the formula in the eighth record?
A: Sr3Y3MgS8